Computed, not measured: an optimized crystal structure of PmSm8Th2 at the GGA-PBE level of DFT.

Energy of formation from the pure elements in eV per atom: 0.195
DOS at the Fermi energy in states/eV/atom: 1.6508

Unit cell a=10.296 b=10.296 c=5.683 alpha=92.68 beta=92.68 gamma=40.27
Sites, in units of the cell vectors:
Pm: 0.000 0.000 0.000
Sm: 0.137 0.600 0.264
Sm: 0.184 0.184 0.226
Sm: 0.400 0.863 0.736
Sm: 0.452 0.452 0.764
Sm: 0.548 0.548 0.236
Sm: 0.600 0.137 0.264
Sm: 0.816 0.816 0.774
Sm: 0.863 0.400 0.736
Th: 0.281 0.281 0.728
Th: 0.719 0.719 0.272

=====

Computed, not measured: an optimized crystal structure of Ho6Mn2In at the GGA-PBE level of DFT.

Energy of formation from the pure elements in eV per atom: -0.090
DOS at the Fermi energy in states/eV/atom: 1.0031

Unit cell a=8.397 b=8.397 c=8.397 alpha=111.08 beta=110.03 gamma=107.33
Sites, in units of the cell vectors:
Ho: 0.013 0.231 0.782
Ho: 0.191 0.287 0.478
Ho: 0.191 0.713 0.905
Ho: 0.311 0.019 0.707
Ho: 0.311 0.604 0.293
Ho: 0.449 0.231 0.218
Ho: 0.551 0.769 0.782
Ho: 0.689 0.396 0.707
Ho: 0.689 0.981 0.293
Ho: 0.809 0.287 0.095
Ho: 0.809 0.713 0.522
Ho: 0.987 0.769 0.218
Mn: 0.105 0.605 0.500
Mn: 0.387 0.000 0.387
Mn: 0.613 0.000 0.613
Mn: 0.895 0.395 0.500
In: 0.000 0.000 0.000
In: 0.500 0.500 0.000

=====

Computed, not measured: an optimized crystal structure of LiCdPt2 at the GGA-PBE level of DFT.

Energy of formation from the pure elements in eV per atom: -0.384
DOS at the Fermi energy in states/eV/atom: 0.5299

Unit cell a=4.926 b=4.926 c=4.866 alpha=98.51 beta=98.51 gamma=33.81
Sites, in units of the cell vectors:
Li: 0.000 0.000 0.000
Cd: 0.234 0.234 0.722
Pt: 0.486 0.486 0.472
Pt: 0.749 0.749 0.220

=====

Number 1: energy -5.018 eV per atom. Number 2: energy -5.484 eV per atom. Number 3: energy -4.111 eV per atom.